# RbBiN2O

A relaxed RbBiN2O crystal (PBE, Alexandria).

Structure (POSCAR):
```
RbBiN2O
1.0
4.610 0.000 0.000
0.000 4.610 0.000
0.000 0.000 4.423
Rb Bi N O
1 1 2 1
direct
0.000 0.000 0.000
0.500 0.500 0.500
0.000 0.500 0.500
0.500 0.000 0.500
0.500 0.500 0.000
```

---

# ReBiNO2

A relaxed ReBiNO2 crystal (PBE, Alexandria).

Structure (POSCAR):
```
ReBiNO2
1.0
4.170 0.000 0.000
0.000 4.170 0.000
0.000 0.000 4.432
Re Bi N O
1 1 1 2
direct
0.000 0.000 0.000
0.500 0.500 0.500
0.500 0.500 0.000
0.000 0.500 0.500
0.500 0.000 0.500
```

---

| no. | formation energy from raw total energies (eV per atom) | total energy (eV per atom) |
| --- | --- | --- |
| 1 | 0.7003 | -4.59 |
| 2 | 1.2229 | -5.69 |